Entry from Alexandria via LeMat-Bulk: crystalline Li3Sn12Rh4 at its relaxed geometry (PBE).

```
data_Li3Sn12Rh4
_chemical_formula_sum 'Li6 Sn24 Rh8'
_cell_length_a 9.995
_cell_length_b 9.995
_cell_length_c 9.995
_cell_angle_alpha 90.00
_cell_angle_beta 90.00
_cell_angle_gamma 90.00
_symmetry_space_group_name_H-M 'I m -3'
_symmetry_Int_Tables_number 204
_symmetry_space_group_name_Hall '-I 2 2 3'
loop_
_atom_site_label
_atom_site_type_symbol
_atom_site_fract_x
_atom_site_fract_y
_atom_site_fract_z
Li1 Li 0.000 0.000 0.500
Sn1 Sn 0.000 0.205 0.318
Rh1 Rh 0.250 0.250 0.250
```

Calculated values
Energy of formation from the pure elements: -0.086 eV/atom

Entry from Alexandria via LeMat-Bulk: crystalline CuRe2Pb at its relaxed geometry (PBE).

```
data_CuRe2Pb
_chemical_formula_sum 'Cu2 Re4 Pb2'
_cell_length_a 8.406
_cell_length_b 3.246
_cell_length_c 5.463
_cell_angle_alpha 90.00
_cell_angle_beta 99.01
_cell_angle_gamma 90.00
_symmetry_space_group_name_H-M 'C 1 m 1'
_symmetry_Int_Tables_number 8
loop_
_symmetry_equiv_pos_as_xyz
'x,y,z'
'x,-y,z'
'x+1/2,y+1/2,z'
'x+1/2,-y+1/2,z'
loop_
_atom_site_label
_atom_site_type_symbol
_atom_site_fract_x
_atom_site_fract_y
_atom_site_fract_z
Cu1 Cu 0.000 0.000 0.000
Re1 Re 0.244 0.500 0.224
Re2 Re 0.457 0.000 0.375
Pb1 Pb 0.234 0.000 0.724
```

Calculated values
Energy above the most stable polymorph in this dataset: 236 meV/atom
Energy of formation from the pure elements: 0.718 eV/atom

Entry from Alexandria via LeMat-Bulk: crystalline NdIn2Cu6 at its relaxed geometry (PBE).

```
data_NdIn2Cu6
_chemical_formula_sum 'Nd2 In4 Cu12'
_cell_length_a 3.932
_cell_length_b 6.603
_cell_length_c 12.448
_cell_angle_alpha 90.00
_cell_angle_beta 90.00
_cell_angle_gamma 90.00
_symmetry_space_group_name_H-M 'I m m m'
_symmetry_Int_Tables_number 71
_symmetry_space_group_name_Hall '-I 2 2'
loop_
_atom_site_label
_atom_site_type_symbol
_atom_site_fract_x
_atom_site_fract_y
_atom_site_fract_z
Nd1 Nd 0.000 0.000 0.000
In1 In 0.000 0.500 0.131
Cu1 Cu 0.000 0.180 0.500
Cu2 Cu 0.000 0.303 0.316
```

Calculated values
Energy of formation from the pure elements: 0.006 eV/atom

Entry from Alexandria via LeMat-Bulk: crystalline VRe3Si at its relaxed geometry (PBE).

```
data_VRe3Si
_chemical_formula_sum 'V1 Re3 Si1'
_cell_length_a 4.487
_cell_length_b 4.487
_cell_length_c 4.487
_cell_angle_alpha 90.00
_cell_angle_beta 90.00
_cell_angle_gamma 90.00
_symmetry_space_group_name_H-M 'P m -3 m'
_symmetry_Int_Tables_number 221
_symmetry_space_group_name_Hall '-P 4 2 3'
loop_
_atom_site_label
_atom_site_type_symbol
_atom_site_fract_x
_atom_site_fract_y
_atom_site_fract_z
V1 V 0.000 0.000 0.000
Re1 Re 0.000 0.000 0.500
Si1 Si 0.500 0.500 0.500
```

Calculated values
Energy above the most stable polymorph in this dataset: 722 meV/atom

Entry from Alexandria via LeMat-Bulk: crystalline OsWCl2 at its relaxed geometry (PBE).

```
data_OsWCl2
_chemical_formula_sum 'Os3 W3 Cl6'
_cell_length_a 2.9941
_cell_length_b 2.9941
_cell_length_c 28.2045
_cell_angle_alpha 90.00
_cell_angle_beta 90.00
_cell_angle_gamma 120.00
_symmetry_space_group_name_H-M 'R 3 m'
_symmetry_Int_Tables_number 160
_symmetry_space_group_name_Hall 'R 3 -2"'
loop_
_atom_site_label
_atom_site_type_symbol
_atom_site_fract_x
_atom_site_fract_y
_atom_site_fract_z
Os1 Os 0.0000 0.0000 0.0000
W1 W 0.0000 0.0000 0.2608
Cl1 Cl 0.0000 0.0000 0.5278
Cl2 Cl 0.0000 0.0000 0.7358
```

Calculated values
Energy above the most stable polymorph in this dataset: 286 meV/atom

Entry from Alexandria via LeMat-Bulk: crystalline ZnGa2Pd3 at its relaxed geometry (PBE).

```
data_ZnGa2Pd3
_chemical_formula_sum 'Zn2 Ga4 Pd6'
_cell_length_a 4.3672
_cell_length_b 4.3672
_cell_length_c 10.7173
_cell_angle_alpha 90.00
_cell_angle_beta 90.00
_cell_angle_gamma 120.00
_symmetry_space_group_name_H-M 'P -3 m 1'
_symmetry_Int_Tables_number 164
_symmetry_space_group_name_Hall '-P 3 2"'
loop_
_atom_site_label
_atom_site_type_symbol
_atom_site_fract_x
_atom_site_fract_y
_atom_site_fract_z
Zn1 Zn 0.3333 0.6667 0.1675
Ga1 Ga 0.0000 0.0000 0.0000
Ga2 Ga 0.0000 0.0000 0.5000
Ga3 Ga 0.3333 0.6667 0.6724
Pd1 Pd 0.0000 0.0000 0.2519
Pd2 Pd 0.3333 0.6667 0.4212
Pd3 Pd 0.3333 0.6667 0.9186
```

Calculated values
Energy above the most stable polymorph in this dataset: 0 meV/atom
Energy of formation from the pure elements: -0.575 eV/atom

Entry from Alexandria via LeMat-Bulk: crystalline RbPt2Cl8 at its relaxed geometry (PBE).

```
data_RbPt2Cl8
_chemical_formula_sum 'Rb1 Pt2 Cl8'
_cell_length_a 5.367
_cell_length_b 7.677
_cell_length_c 8.149
_cell_angle_alpha 86.42
_cell_angle_beta 78.64
_cell_angle_gamma 81.66
_symmetry_space_group_name_H-M 'P -1'
_symmetry_Int_Tables_number 2
loop_
_symmetry_equiv_pos_as_xyz
'x,y,z'
'-x,-y,-z'
loop_
_atom_site_label
_atom_site_type_symbol
_atom_site_fract_x
_atom_site_fract_y
_atom_site_fract_z
Rb1 Rb 0.000 0.000 0.000
Pt1 Pt 0.298 0.387 0.389
Cl1 Cl 0.206 0.599 0.598
Cl2 Cl 0.280 0.166 0.592
Cl3 Cl 0.309 0.610 0.186
Cl4 Cl 0.397 0.179 0.184
```

Calculated values
Final energy: -3.124 eV/atom

Entry from Alexandria via LeMat-Bulk: crystalline Sr2HfTc at its relaxed geometry (PBE).

```
data_Sr2HfTc
_chemical_formula_sum 'Sr8 Hf4 Tc4'
_cell_length_a 11.727
_cell_length_b 11.727
_cell_length_c 4.769
_cell_angle_alpha 90.00
_cell_angle_beta 90.00
_cell_angle_gamma 90.00
_symmetry_space_group_name_H-M 'I -4 2 d'
_symmetry_Int_Tables_number 122
_symmetry_space_group_name_Hall 'I -4 2bw'
loop_
_atom_site_label
_atom_site_type_symbol
_atom_site_fract_x
_atom_site_fract_y
_atom_site_fract_z
Sr1 Sr 0.086 0.250 0.125
Hf1 Hf 0.000 0.000 0.500
Tc1 Tc 0.000 0.000 0.000
```

Calculated values
Energy above the most stable polymorph in this dataset: 0 meV/atom
Energy of formation from the pure elements: 0.772 eV/atom

Entry from Alexandria via LeMat-Bulk: crystalline TaTiC at its relaxed geometry (PBE).

```
data_TaTiC
_chemical_formula_sum 'Ta2 Ti2 C2'
_cell_length_a 3.120
_cell_length_b 4.402
_cell_length_c 6.026
_cell_angle_alpha 90.00
_cell_angle_beta 90.21
_cell_angle_gamma 90.00
_symmetry_space_group_name_H-M 'P 1 21/m 1'
_symmetry_Int_Tables_number 11
loop_
_symmetry_equiv_pos_as_xyz
'x,y,z'
'-x,-y,-z'
'-x,y+1/2,-z'
'x,-y+1/2,z'
loop_
_atom_site_label
_atom_site_type_symbol
_atom_site_fract_x
_atom_site_fract_y
_atom_site_fract_z
Ta1 Ta 0.249 0.250 0.385
Ti1 Ti 0.252 0.250 0.875
C1 C 0.249 0.750 0.361
```

Calculated values
Energy above the most stable polymorph in this dataset: 51 meV/atom
Energy of formation from the pure elements: -0.528 eV/atom

Entry from Alexandria via LeMat-Bulk: crystalline CdP2Pd8 at its relaxed geometry (PBE).

```
data_CdP2Pd8
_chemical_formula_sum 'Cd1 P2 Pd8'
_cell_length_a 5.058
_cell_length_b 5.596
_cell_length_c 7.061
_cell_angle_alpha 107.60
_cell_angle_beta 104.67
_cell_angle_gamma 105.18
_symmetry_space_group_name_H-M 'P 1'
_symmetry_Int_Tables_number 1
loop_
_symmetry_equiv_pos_as_xyz
'x,y,z'
loop_
_atom_site_label
_atom_site_type_symbol
_atom_site_fract_x
_atom_site_fract_y
_atom_site_fract_z
Cd1 Cd 0.000 0.000 0.000
P1 P 0.311 0.392 0.685
P2 P 0.627 0.707 0.315
Pd1 Pd 0.150 0.957 0.400
Pd2 Pd 0.176 0.461 0.360
Pd3 Pd 0.200 0.565 0.000
Pd4 Pd 0.379 0.857 0.769
Pd5 Pd 0.610 0.087 0.231
Pd6 Pd 0.664 0.417 0.000
Pd7 Pd 0.750 0.558 0.600
Pd8 Pd 0.817 0.102 0.640
```

Calculated values
Energy above the most stable polymorph in this dataset: 54 meV/atom
Energy of formation from the pure elements: -0.376 eV/atom

Entry from Alexandria via LeMat-Bulk: crystalline RbNi2S2 at its relaxed geometry (PBE).

```
data_RbNi2S2
_chemical_formula_sum 'Rb1 Ni2 S2'
_cell_length_a 3.659
_cell_length_b 3.659
_cell_length_c 7.010
_cell_angle_alpha 90.00
_cell_angle_beta 90.00
_cell_angle_gamma 90.00
_symmetry_space_group_name_H-M 'P 4/m m m'
_symmetry_Int_Tables_number 123
_symmetry_space_group_name_Hall '-P 4 2'
loop_
_atom_site_label
_atom_site_type_symbol
_atom_site_fract_x
_atom_site_fract_y
_atom_site_fract_z
Rb1 Rb 0.000 0.000 0.000
Ni1 Ni 0.000 0.500 0.500
S1 S 0.500 0.500 0.302
```

Calculated values
Final energy: -4.726 eV/atom

Entry from Alexandria via LeMat-Bulk: crystalline AcNbS6 at its relaxed geometry (PBE).

```
data_AcNbS6
_chemical_formula_sum 'Ac4 Nb4 S24'
_cell_length_a 10.684
_cell_length_b 10.684
_cell_length_c 10.684
_cell_angle_alpha 90.00
_cell_angle_beta 90.00
_cell_angle_gamma 90.00
_symmetry_space_group_name_H-M 'F m -3 m'
_symmetry_Int_Tables_number 225
_symmetry_space_group_name_Hall '-F 4 2 3'
loop_
_atom_site_label
_atom_site_type_symbol
_atom_site_fract_x
_atom_site_fract_y
_atom_site_fract_z
Ac1 Ac 0.000 0.000 0.000
Nb1 Nb 0.000 0.000 0.500
S1 S 0.000 0.000 0.275
```

Calculated values
Final energy: -5.228 eV/atom